CdAu, relaxed, DFT PBEsol; E_tot = -21.0 eV per cell; spin magnetization = 0.00 μB per formula unit; crystal system = hexagonal; symmetry = P6_3/mmc
1.0
4.6466 0.0000 0.0000
-2.3233 4.0240 0.0000
0.0000 0.0000 8.4498
Cd Au
4 4
Direct
0.3333 0.6667 0.0811
0.3333 0.6667 0.4189
0.6667 0.3333 0.5811
0.6667 0.3333 0.9189
0.0000 0.0000 0.2500
0.0000 0.0000 0.7500
0.3333 0.6667 0.7500
0.6667 0.3333 0.2500

K3SiF7, relaxed, DFT PBEsol; spin magnetization = 0.10 μB per formula unit; crystal system = tetragonal; symmetry = P4/mbm; formation energy from raw total energies = -3.103 eV per atom
1.0
7.6427 0.0000 0.0000
0.0000 7.6427 0.0000
0.0000 0.0000 5.5124
K Si F
6 2 14
Direct
0.0000 0.0000 0.0000
0.1929 0.3071 0.5000
0.3071 0.8071 0.5000
0.5000 0.5000 0.0000
0.6929 0.1929 0.5000
0.8071 0.6929 0.5000
0.0000 0.5000 0.0000
0.5000 0.0000 0.0000
0.0000 0.0000 0.5000
0.1104 0.6104 0.2211
0.1104 0.6104 0.7789
0.1575 0.3425 0.0000
0.3425 0.8425 0.0000
0.3896 0.1104 0.2211
0.3896 0.1104 0.7789
0.5000 0.5000 0.5000
0.6104 0.8896 0.2211
0.6104 0.8896 0.7789
0.6575 0.1575 0.0000
0.8425 0.6575 0.0000
0.8896 0.3896 0.2211
0.8896 0.3896 0.7789

BaYW, relaxed, DFT PBEsol; E_tot = -66.7 eV per cell; spin magnetization = 1.10 μB per formula unit; crystal system = cubic; symmetry = F-43m
1.0
6.9225 0.0000 0.0000
0.0000 6.9225 0.0000
0.0000 0.0000 6.9225
Ba Y W
4 4 4
Direct
0.0000 0.0000 0.0000
0.0000 0.5000 0.5000
0.5000 0.0000 0.5000
0.5000 0.5000 0.0000
0.2500 0.2500 0.7500
0.2500 0.7500 0.2500
0.7500 0.2500 0.2500
0.7500 0.7500 0.7500
0.2500 0.2500 0.2500
0.2500 0.7500 0.7500
0.7500 0.2500 0.7500
0.7500 0.7500 0.2500

KHgRh2, relaxed, DFT PBEsol; E_tot = -31.8 eV per cell; spin magnetization = 0.00 μB per formula unit; crystal system = orthorhombic; symmetry = Imm2
1.0
2.7985 0.0000 0.0000
0.0000 5.1273 0.0000
0.0000 0.0000 10.6901
K Hg Rh
2 2 4
Direct
0.0000 0.0000 0.0000
0.5000 0.5000 0.5000
0.0000 0.5000 0.2077
0.5000 0.0000 0.7077
0.0000 0.0000 0.4759
0.0000 0.5000 0.7813
0.5000 0.0000 0.2813
0.5000 0.5000 0.9759

Among the records above, which one has the highest spin magnetization?
BaYW

Among the records above, which one has the highest spin magnetization?
BaYW